[1]
A relaxed structure of La2CoSnHg. Source: Alexandria via LeMat-Bulk, functional PBE-GGA.

Output
SG   P4/mmm (123)
Offset from the most stable computed form   0 meV per atom

Cell and atoms, written as CIF:
```
data_La2CoSnHg
_chemical_formula_sum 'La2 Co1 Sn1 Hg1'
_cell_length_a 5.327
_cell_length_b 5.327
_cell_length_c 4.870
_cell_angle_alpha 90.00
_cell_angle_beta 90.00
_cell_angle_gamma 90.00
_space_group_name_H-M_alt 'P 1'
_space_group_IT_number 1
loop_
_space_group_symop_operation_xyz
'x,y,z'
loop_
_atom_site_label
_atom_site_type_symbol
_atom_site_fract_x
_atom_site_fract_y
_atom_site_fract_z
Hg1 Hg 0.500 0.500 0.500
Co1 Co 0.000 0.000 0.000
Sn1 Sn 0.000 0.000 0.500
La1 La 0.500 0.000 0.000
La2 La 0.000 0.500 0.000
```



[2]
A relaxed structure of Na2TaNbTc. Source: Alexandria via LeMat-Bulk, functional PBE-GGA.

Output
SG   P4/mmm (123)

Cell and atoms, written as CIF:
```
data_Na2TaNbTc
_chemical_formula_sum 'Na2 Ta1 Nb1 Tc1'
_cell_length_a 5.191
_cell_length_b 4.834
_cell_length_c 5.191
_cell_angle_alpha 90.00
_cell_angle_beta 90.00
_cell_angle_gamma 90.00
_space_group_name_H-M_alt 'P 1'
_space_group_IT_number 1
loop_
_space_group_symop_operation_xyz
'x,y,z'
loop_
_atom_site_label
_atom_site_type_symbol
_atom_site_fract_x
_atom_site_fract_y
_atom_site_fract_z
Tc1 Tc 0.500 0.500 0.500
Nb1 Nb 0.000 0.000 0.000
Na1 Na 0.000 0.000 0.500
Na2 Na 0.500 0.000 0.000
Ta1 Ta 0.000 0.500 0.000
```



no.,E_form (eV per atom)
1,-0.4273
2,2.2086